1.
DFT (PBE) results for crystalline Cu2GePb2 at its relaxed geometry.

Properties
As for the distance to the lowest polymorph of the same formula: 0.22 eV per formula unit. Its total energy is -3.788 eV per atom. The calculation puts the formation energy at 1.3 eV/f.u. Its space-group type is No. 139.

Unit cell a=3.502 b=3.502 c=9.210 alpha=79.04 beta=79.04 gamma=90.00
Sites, in units of the cell vectors:
Pb 0.384 0.384 0.231
Pb 0.616 0.616 0.769
Ge 0.000 0.000 0.000
Cu 0.750 0.250 0.500
Cu 0.250 0.750 0.500

2.
DFT (PBE) results for crystalline AcSbRh4 at its relaxed geometry.

Properties
As for the distance to the lowest polymorph of the same formula: 0.24 eV per formula unit. Its total energy is -6.561 eV per atom. Its space-group type is No. 216. The uncorrected formation energy is -0.288 eV per atom.

Unit cell a=5.449 b=5.449 c=5.449 alpha=60.00 beta=60.00 gamma=60.00
Sites, in units of the cell vectors:
Sb 0.000 0.000 0.000
Ac 0.250 0.250 0.250
Rh 0.627 0.627 0.120
Rh 0.627 0.120 0.627
Rh 0.627 0.627 0.627
Rh 0.120 0.627 0.627

Q: Look up the distance to the lowest polymorph of the same formula of the second one.
A: 0.24 eV per formula unit